# 1
{"formula": "Rb2Y2TeO6", "functional": "PBE", "state": "relaxed", "e_tot_ev_per_cell": -72.44, "formation_energy_uncorrected_ev_per_atom": -2.2439, "volume_a3_per_atom": 18.90, "rho_g_cm3": 4.573, "lattice": [[3.0004, -5.1790, 0.0000], [3.0004, 5.1790, 0.0000], [-1.9211, 0.0000, 6.6878]], "species": ["Rb", "Rb", "Y", "Y", "Te", "O", "O", "O", "O", "O", "O"], "fractional_positions": [[0.1654, 0.8346, 0.0000], [0.8346, 0.1654, 0.0000], [0.3346, 0.6654, 0.5000], [0.6654, 0.3346, 0.5000], [0.0000, 0.0000, 0.5000], [0.0492, 0.3790, 0.6672], [0.2656, 0.2656, 0.3327], [0.3790, 0.0492, 0.6672], [0.6210, 0.9508, 0.3328], [0.7344, 0.7344, 0.6673], [0.9508, 0.6210, 0.3328]]}

***

# 2
{"formula": "LiNdDyAg", "functional": "PBE", "state": "relaxed", "e_tot_ev_per_cell": -14.42, "volume_a3_per_atom": 25.65, "rho_g_cm3": 6.821, "lattice": [[0.0000, 3.7159, 3.7159], [3.7159, 0.0000, 3.7159], [3.7159, 3.7159, 0.0000]], "species": ["Li", "Nd", "Dy", "Ag"], "fractional_positions": [[0.0000, 0.0000, 0.0000], [0.2500, 0.2500, 0.2500], [0.7500, 0.7500, 0.7500], [0.5000, 0.5000, 0.5000]]}

***

# 3
{"formula": "PuTl2GaI6", "functional": "PBE", "state": "relaxed", "e_tot_ev_per_cell": -77.91, "formation_energy_uncorrected_ev_per_atom": -0.7564, "volume_a3_per_atom": 43.00, "rho_g_cm3": 5.731, "lattice": [[8.1246, 0.0000, 0.0000], [0.0000, 8.8884, 0.0000], [-7.6157, 0.0000, 11.9084]], "species": ["Pu", "Pu", "Tl", "Tl", "Tl", "Tl", "Ga", "Ga", "I", "I", "I", "I", "I", "I", "I", "I", "I", "I", "I", "I"], "fractional_positions": [[0.0000, 0.0000, 0.0000], [0.0000, 0.5000, 0.5000], [0.3053, 0.1010, 0.7637], [0.3053, 0.3990, 0.2637], [0.6947, 0.6010, 0.7363], [0.6947, 0.8990, 0.2363], [0.5000, 0.0000, 0.5000], [0.5000, 0.5000, 0.0000], [0.1115, 0.0351, 0.2459], [0.1115, 0.4649, 0.7459], [0.2345, 0.6992, 0.0671], [0.2345, 0.8008, 0.5671], [0.3680, 0.1811, 0.0545], [0.3680, 0.3189, 0.5545], [0.6320, 0.6811, 0.4455], [0.6320, 0.8189, 0.9455], [0.7655, 0.1992, 0.4329], [0.7655, 0.3008, 0.9329], [0.8885, 0.5351, 0.2541], [0.8885, 0.9649, 0.7541]]}

***

# 4
{"formula": "Pm5Ho2TmSc", "functional": "PBE", "state": "relaxed", "e_tot_ev_per_cell": -85.14, "volume_a3_per_atom": 32.83, "rho_g_cm3": 7.131, "lattice": [[2.6670, -10.8881, 0.0000], [2.6670, 10.8881, 0.0000], [0.0000, 0.0000, 10.1735]], "species": ["Pm", "Pm", "Pm", "Pm", "Pm", "Pm", "Pm", "Pm", "Pm", "Pm", "Ho", "Ho", "Ho", "Ho", "Tm", "Tm", "Sc", "Sc"], "fractional_positions": [[0.0001, 0.9999, 0.0000], [0.9999, 0.0001, 0.5000], [0.1266, 0.8734, 0.7502], [0.2212, 0.7788, 0.0627], [0.2207, 0.7793, 0.4385], [0.4995, 0.5005, 0.2501], [0.5005, 0.4995, 0.7501], [0.7788, 0.2212, 0.5627], [0.7793, 0.2207, 0.9385], [0.8734, 0.1266, 0.2502], [0.3843, 0.6157, 0.5017], [0.3846, 0.6154, 0.9984], [0.6154, 0.3846, 0.4984], [0.6157, 0.3843, 0.0017], [0.1013, 0.8987, 0.2501], [0.8987, 0.1013, 0.7501], [0.2865, 0.7135, 0.7506], [0.7135, 0.2865, 0.2506]]}